[1]
A relaxed structure of UPaSbTe2. Source: the Alexandria database, functional PBE-GGA.

Output
crystal system: tetragonal
formation energy without anion corrections: -0.28 eV per atom
VASP energy: -6.52 eV/atom

Structure (POSCAR):
```
UPaSbTe2
1.0
-2.220 2.220 7.118
2.220 -2.220 7.118
2.220 2.220 -7.118
U Pa Sb Te
1 1 1 2
Direct
0.000 0.000 0.000 U
0.826 0.826 0.000 Pa
0.414 0.414 0.000 Sb
0.158 0.658 0.500 Te
0.658 0.158 0.500 Te
```

---

[2]
A relaxed structure of Ho5Pd. Source: the Alexandria database, functional PBE-GGA.

Output
energy relative to the elements: -0.15 eV per atom
crystal system: orthorhombic
VASP energy: -4.83 eV/atom

Structure (POSCAR):
```
Ho5Pd
1.0
1.873 -8.144 0.000
1.873 8.144 0.000
0.000 0.000 5.425
Ho Pd
5 1
Direct
0.000 0.000 0.000 Ho
0.143 0.857 0.500 Ho
0.330 0.670 0.000 Ho
0.670 0.330 0.000 Ho
0.857 0.143 0.500 Ho
0.500 0.500 0.500 Pd
```

---

[3]
A relaxed structure of DyH6Ir2Pb. Source: the Alexandria database, functional PBE-GGA.

Output
crystal system: monoclinic
VASP energy: -4.79 eV/atom

Structure (POSCAR):
```
DyH6Ir2Pb
1.0
4.128 -4.880 0.000
4.128 4.880 0.000
-1.221 0.000 5.466
Dy H Ir Pb
2 12 4 2
Direct
0.139 0.861 0.750 Dy
0.861 0.139 0.250 Dy
0.059 0.568 0.405 H
0.173 0.179 0.558 H
0.179 0.173 0.058 H
0.249 0.525 0.805 H
0.432 0.941 0.095 H
0.475 0.751 0.695 H
0.525 0.249 0.305 H
0.568 0.059 0.905 H
0.751 0.475 0.195 H
0.821 0.827 0.942 H
0.827 0.821 0.442 H
0.941 0.432 0.595 H
0.057 0.316 0.803 Ir
0.316 0.057 0.303 Ir
0.684 0.943 0.697 Ir
0.943 0.684 0.197 Ir
0.391 0.609 0.250 Pb
0.609 0.391 0.750 Pb
```

---

[4]
A relaxed structure of CsRb2SnHg. Source: the Alexandria database, functional PBE-GGA.

Output
energy relative to the elements: -0.04 eV per atom
crystal system: tetragonal
VASP energy: -1.46 eV/atom

Structure (POSCAR):
```
CsRb2SnHg
1.0
7.001 0.000 0.000
0.000 7.001 0.000
0.000 0.000 5.664
Cs Rb Sn Hg
1 2 1 1
Direct
0.000 0.000 0.000 Cs
0.000 0.500 0.500 Rb
0.500 0.000 0.500 Rb
0.500 0.500 0.000 Sn
0.500 0.500 0.500 Hg
```